# 1
Below is DyWC after structural relaxation, with properties calculated at the PBE level.

Lattice parameters (Å, degrees): 11.7705 3.3440 5.7777 90.00 115.43 90.00
With the nearest neighbours (Å) after each atom.
Space group C2/m (No. 12)
Inequivalent atoms, fractional coordinates:
Dy 0.1133 0.0000 0.3092 [4 per cell]  3 C 2.42-2.53
W 0.1567 0.5000 0.8326 [4 per cell]  3 C 2.09-2.10
C 0.2446 0.0000 0.7655 [4 per cell]  3 W 2.09-2.10

D(E_F) = 0.717 states/eV/atom
formation energy = -0.0998 eV/atom
E_tot = -9.026 eV per atom
total magnetic moment = 0.000 μB/atom

# 2
Below is Dy3WC3 after structural relaxation, with properties calculated at the PBE level.

Lattice parameters (Å, degrees): 8.8359 10.5598 5.1656 90.00 90.00 90.00
With the nearest neighbours (Å) after each atom.
Space group Cmcm (No. 63)
Inequivalent atoms, fractional coordinates:
Dy 0.0000 0.1101 0.2500 [4 per cell]  5 C 2.46-2.59
Dy 0.2160 0.3838 0.2500 [8 per cell]  4 C 2.49-2.58
W 0.0000 0.3096 0.7500 [4 per cell]  3 C 1.97-1.99
C 0.0000 0.1232 0.7500 [4 per cell]  1 W 1.97
C 0.2080 0.3808 0.7500 [8 per cell]  1 W 1.99

D(E_F) = 0.491 states/eV/atom
formation energy = -0.3281 eV/atom
E_tot = -8.104 eV per atom
total magnetic moment = 0.000 μB/atom

# 3
Below is DyYC after structural relaxation, with properties calculated at the PBE level.

Lattice parameters (Å, degrees): 12.4713 3.6065 6.2412 90.00 99.69 90.00
With the nearest neighbours (Å) after each atom.
Space group C2/m (No. 12)
Inequivalent atoms, fractional coordinates:
Dy 0.1091 0.0000 0.3697 [4 per cell]  3 C 2.47-2.48
Y 0.1101 0.5000 0.8707 [4 per cell]  3 C 2.48
C 0.0000 0.0000 0.0000 [2 per cell]  2 Dy 2.47, 4 Y 2.48
C 0.0000 0.5000 0.5000 [2 per cell]  4 Dy 2.48, 2 Y 2.48

D(E_F) = 0.663 states/eV/atom
formation energy = -0.2884 eV/atom
E_tot = -7.052 eV per atom
total magnetic moment = 0.135 μB/atom

# 4
Below is DyYC4 after structural relaxation, with properties calculated at the PBE level.

Lattice parameters (Å, degrees): 5.1990 6.2021 5.2203 90.00 90.00 90.00
With the nearest neighbours (Å) after each atom.
Space group Cmmm (No. 65)
Inequivalent atoms, fractional coordinates:
Dy 0.0000 0.0000 0.0000 [2 per cell]  10 C 2.45-2.69
Y 0.0000 0.5000 0.5000 [2 per cell]  10 C 2.45-2.69
C 0.0000 0.1050 0.5000 [4 per cell]  1 C 1.30
C 0.0000 0.3949 0.0000 [4 per cell]  1 C 1.30

D(E_F) = 0.394 states/eV/atom
formation energy = -0.1840 eV/atom
E_tot = -8.178 eV per atom
total magnetic moment = 0.000 μB/atom

# 5
Below is DyYC after structural relaxation, with properties calculated at the PBE level.

Lattice parameters (Å, degrees): 6.2578 7.1672 6.2110 90.00 91.71 90.00
With the nearest neighbours (Å) after each atom.
Space group P2_1/c (No. 14)
Inequivalent atoms, fractional coordinates:
Dy 0.2151 0.1253 0.0896 [4 per cell]  3 C 2.46-2.47
Y 0.2171 0.6247 0.0892 [4 per cell]  3 C 2.48
C 0.0002 0.1250 0.7512 [4 per cell]  3 Dy 2.46-2.47, 3 Y 2.48

D(E_F) = 0.794 states/eV/atom
formation energy = -0.2630 eV/atom
E_tot = -7.026 eV per atom
total magnetic moment = 0.078 μB/atom

# 6
Below is DyY2C after structural relaxation, with properties calculated at the PBE level.

Lattice parameters (Å, degrees): 3.5491 3.5491 28.9636 90.00 90.00 120.00
With the nearest neighbours (Å) after each atom.
Space group R-3m (No. 166, hexagonal axes)
Inequivalent atoms, fractional coordinates:
Dy 0.0000 0.0000 0.0000 [3 per cell]  2 Y 3.48, 6 Dy 3.55
Y 0.0000 0.0000 0.1202 [6 per cell]  3 C 2.45
C 0.0000 0.0000 0.5000 [3 per cell]  6 Y 2.45

D(E_F) = 1.182 states/eV/atom
formation energy = -0.0690 eV/atom
E_tot = -6.758 eV per atom
total magnetic moment = 0.137 μB/atom

Repeat the fifth record exactly.
Below is DyYC after structural relaxation, with properties calculated at the PBE level.

Lattice parameters (Å, degrees): 6.2578 7.1672 6.2110 90.00 91.71 90.00
With the nearest neighbours (Å) after each atom.
Space group P2_1/c (No. 14)
Inequivalent atoms, fractional coordinates:
Dy 0.2151 0.1253 0.0896 [4 per cell]  3 C 2.46-2.47
Y 0.2171 0.6247 0.0892 [4 per cell]  3 C 2.48
C 0.0002 0.1250 0.7512 [4 per cell]  3 Dy 2.46-2.47, 3 Y 2.48

D(E_F) = 0.794 states/eV/atom
formation energy = -0.2630 eV/atom
E_tot = -7.026 eV per atom
total magnetic moment = 0.078 μB/atom